Computed, not measured: DyY5Pd2 after structural relaxation at the PBE-GGA level of DFT.

The structure belongs to space group Cmcm (No. 63); the cell edges are 3.7877, 13.2458 and 18.3974 Å and the angles 90.00°, 90.00° and 90.00°. The inequivalent atoms are Dy at (0.0000, 0.2185, 0.2500), Y at (0.0000, 0.0530, 0.7500), Y at (0.0000, 0.1699, 0.0562), Y at (0.0000, 0.4458, 0.0872) and Pd at (0.0000, 0.2089, 0.6378).

The energy comes out at -6.282 eV per atom. The value obtained for the formation energy is -369 meV per atom.